(1)
10
Lattice="-7.389 3.407 -0.607 -6.549 -3.892 2.923 -3.742 2.899 6.887" Properties=species:S:1:pos:R:3 comment="KNaCd2I6, optimized geometry, DFT PBE" e_tot_ev_per_atom=-2.19 volume_a3_per_atom=39.7 pbc="T T T"
K -13.385 1.384 6.053
Na -4.585 0.041 1.176
Cd -8.893 1.032 4.244
Cd -3.781 2.771 6.636
I -7.208 1.884 1.955
I -8.480 -1.894 4.041
I -11.551 1.204 2.946
I -10.234 0.483 7.073
I -9.317 4.035 5.152
I -6.311 1.340 6.057

(2)
4
Lattice="-0.562 -2.599 3.044 -3.650 -3.007 -3.241 4.349 -3.199 -1.929" Properties=species:S:1:pos:R:3 comment="CsTlCl2, optimized geometry, DFT PBE" e_tot_ev_per_atom=-3.15 e_above_lowest_polymorph_ev_per_atom=0.060 dos_at_fermi_per_ev_cell=0.000 volume_a3_per_atom=33.2 pbc="T T T"
Cs 0.068 -4.403 -1.063
Tl -0.281 -1.299 1.522
Cl 2.174 -1.600 -0.964
Cl -1.825 -1.504 -1.620

(3)
5
Lattice="4.315 0.000 0.000 0.000 4.315 0.000 0.000 0.000 4.315" Properties=species:S:1:pos:R:3 comment="BeInMo3, optimized geometry, DFT PBE" e_tot_ev_per_atom=-7.14 e_above_lowest_polymorph_ev_per_atom=0.000 dos_at_fermi_per_ev_cell=7.445 e_form_ev_per_atom=0.65 volume_a3_per_atom=16.1 pbc="T T T"
Be 0.000 0.000 0.000
Mo 0.000 2.157 0.000
Mo 0.000 0.000 2.157
Mo 2.157 0.000 0.000
In 2.157 2.157 2.157

(4)
6
Lattice="-3.901 -1.110 4.804 -5.171 -3.465 -0.886 -0.380 -5.768 2.473" Properties=species:S:1:pos:R:3 comment="YTl4Cl, optimized geometry, DFT PBE" e_tot_ev_per_atom=-3.04 dos_at_fermi_per_ev_cell=3.018 volume_a3_per_atom=29.3 pbc="T T T"
Y -7.089 -7.758 4.793
Tl -5.496 -4.434 4.799
Tl -3.734 -6.764 3.633
Tl -6.131 -5.612 1.953
Tl -3.544 -3.878 2.396
Cl 0.000 0.000 0.000

(5)
16
Lattice="-3.739 5.364 -8.036 -5.365 -8.318 -3.056 -8.035 3.058 5.780" Properties=species:S:1:pos:R:3 comment="RbOs, optimized geometry, DFT PBE" e_tot_ev_per_atom=-4.36 e_above_lowest_polymorph_ev_per_atom=0.828 dos_at_fermi_per_ev_cell=12.256 e_form_ev_per_atom=1.74 volume_a3_per_atom=69.5 pbc="T T T"
Rb -3.671 0.022 -1.138
Rb -11.330 -2.984 0.419
Rb -10.401 4.836 -2.427
Rb -8.875 -1.667 -7.478
Rb -12.241 0.074 -3.794
Rb -6.500 2.328 -4.961
Rb -7.197 -3.534 -2.827
Rb -8.340 1.340 0.958
Os -7.136 0.043 -2.212
Os -9.378 -0.837 -1.756
Os -9.106 1.452 -2.589
Os -8.659 -0.451 -4.067
Os -15.705 0.095 -4.867
Os -4.547 4.475 -7.136
Os -5.901 -6.918 -2.989
Os -8.124 2.555 4.369

(6)
5
Lattice="5.747 0.000 0.000 0.000 5.747 0.000 0.000 0.000 5.747" Properties=species:S:1:pos:R:3 comment="BaNd3Ir, optimized geometry, DFT PBE" e_tot_ev_per_atom=-5.24 dos_at_fermi_per_ev_cell=7.871 e_form_ev_per_atom=-0.22 volume_a3_per_atom=38.0 pbc="T T T"
Ir 0.000 0.000 0.000
Nd 0.000 2.873 0.000
Nd 0.000 0.000 2.873
Nd 2.873 0.000 0.000
Ba 2.873 2.873 2.873